Entry 1:
Computed, not measured: CdCoNO after structural relaxation at the GGA+U level of DFT.

Lattice parameters (Å, degrees): 3.217 5.991 5.533 90.00 90.00 90.00
Space group Pmc2_1 (No. 26)
Unique sites:
1 Cd 0.000 0.160 0.000 [2 per cell]
2 Co 0.500 0.341 0.485 [2 per cell]
3 N 0.000 0.197 0.401 [2 per cell]
4 O 0.500 0.369 0.834 [2 per cell]

Entry 2:
Computed, not measured: CdCoNO after structural relaxation at the GGA+U level of DFT.

Lattice parameters (Å, degrees): 3.753 3.753 7.521 90.00 90.00 90.00
Space group P4/nmm (No. 129, origin choice 2)
Unique sites:
1 Cd 0.250 0.250 0.152 [2 per cell]
2 Co 0.250 0.750 0.500 [2 per cell]
3 N 0.250 0.250 0.458 [2 per cell]
4 O 0.250 0.750 0.000 [2 per cell]

Entry 3:
Computed, not measured: CdCoNO after structural relaxation at the GGA+U level of DFT.

Lattice parameters (Å, degrees): 3.991 3.991 6.996 90.00 90.00 90.00
Space group P4/nmm (No. 129, origin choice 2)
Unique sites:
1 Cd 0.250 0.750 0.000 [2 per cell]
2 Co 0.250 0.250 0.417 [2 per cell]
3 N 0.250 0.250 0.155 [2 per cell]
4 O 0.250 0.750 0.500 [2 per cell]

Entry 4:
Computed, not measured: CdCoNO after structural relaxation at the GGA+U level of DFT.

Lattice parameters (Å, degrees): 5.704 7.161 5.054 90.00 90.00 90.00
Space group Pca2_1 (No. 29)
Unique sites:
1 Cd 0.057 0.152 0.000 [4 per cell]
2 Co 0.087 0.609 0.989 [4 per cell]
3 N 0.108 0.579 0.619 [4 per cell]
4 O 0.049 0.145 0.539 [4 per cell]

Energy per entry: -19.564 -18.619 -18.999 -19.830 eV per formula unit